Record 1
Material: Pm2Er3Hg2
Method: DFT, PBE
State: relaxed

Properties
E_form (meV per atom): -203
Total magnetic moment (μB/cell): 0.0
Theoretical density (Mg/m³): 9.5
E (eV per atom): -3.6022
N(E_F) (states/eV per cell): 9.42

a b c (Å): 6.3118 6.3118 8.2543
angles (deg): 112.79 112.79 44.44
Closest atoms and distances in Å follow each position.
Element x y z (fractional)
Pm: 0.1313 0.1313 0.2823  4 Hg 3.32-3.41, 4 Er 3.60-3.69
Pm: 0.8687 0.8687 0.7177  4 Hg 3.32-3.41, 4 Er 3.60-3.69
Er: 0.3701 0.3701 0.0457  1 Hg 2.93
Er: 0.5000 0.5000 0.5000  4 Hg 3.02
Er: 0.6299 0.6299 0.9543  1 Hg 2.93
Hg: 0.1541 0.1541 0.6972  3 Er 2.93-3.02
Hg: 0.8459 0.8459 0.3028  3 Er 2.93-3.02

Record 2
Material: TiCl3O
Method: DFT, PBE
State: relaxed

Properties
Total magnetic moment (μB/cell): 1.0
Theoretical density (Mg/m³): 2.6
E (eV per atom): -4.2198
N(E_F) (states/eV per cell): 12.32

a b c (Å): 4.7727 4.7727 4.7727
angles (deg): 90.00 90.00 90.00
Closest atoms and distances in Å follow each position.
Element x y z (fractional)
Ti: 0.0000 0.0000 0.0000  6 Cl 2.39
Cl: 0.0000 0.0000 0.5000  2 Ti 2.39
Cl: 0.0000 0.5000 0.0000  2 Ti 2.39
Cl: 0.5000 0.0000 0.0000  2 Ti 2.39
O: 0.5000 0.5000 0.5000  12 Cl 3.37

Record 3
Material: NaTlPbCl2
Method: DFT, PBE
State: relaxed

Properties
Total magnetic moment (μB/cell): 0.0
Theoretical density (Mg/m³): 5.5
E (eV per atom): -2.7690
N(E_F) (states/eV per cell): 2.28

a b c (Å): 5.0437 5.0437 5.9885
angles (deg): 90.00 90.00 90.00
Closest atoms and distances in Å follow each position.
Element x y z (fractional)
Na: 0.0000 0.0000 0.0000  4 Cl 2.52
Tl: 0.0000 0.0000 0.5000  2 Na 2.99
Pb: 0.5000 0.5000 0.5000  4 Tl 3.57, 8 Cl 3.91
Cl: 0.0000 0.5000 0.0000  2 Na 2.52
Cl: 0.5000 0.0000 0.0000  2 Na 2.52

Record 4
Material: Na2In8Rh
Method: DFT, PBE
State: relaxed

Properties
E_form (meV per atom): -153
Total magnetic moment (μB/cell): 0.0
Theoretical density (Mg/m³): 6.6
E (eV per atom): -3.0523
N(E_F) (states/eV per cell): 4.14

a b c (Å): 4.6597 4.6597 12.4263
angles (deg): 90.00 90.00 90.00
Closest atoms and distances in Å follow each position.
Element x y z (fractional)
Na: 0.0000 0.0000 0.1916  12 In 3.28-3.33
Na: 0.0000 0.0000 0.8084  12 In 3.28-3.33
In: 0.0000 0.5000 0.0000  8 In 3.29-3.33, 4 Na 3.33
In: 0.0000 0.5000 0.3771  2 Rh 2.79, 1 In 3.06
In: 0.0000 0.5000 0.6229  2 Rh 2.79, 1 In 3.06
In: 0.5000 0.0000 0.0000  8 In 3.29-3.33, 4 Na 3.33
In: 0.5000 0.0000 0.3771  2 Rh 2.79, 1 In 3.06
In: 0.5000 0.0000 0.6229  2 Rh 2.79, 1 In 3.06
In: 0.5000 0.5000 0.1914  8 In 3.28-3.33, 4 Na 3.29
In: 0.5000 0.5000 0.8086  8 In 3.28-3.33, 4 Na 3.29
Rh: 0.0000 0.0000 0.5000  8 In 2.79

Record 5
Material: La2ScUAs4
Method: DFT, PBE
State: relaxed

Properties
E_form (meV per atom): -1277
Total magnetic moment (μB/cell): 2.2
Theoretical density (Mg/m³): 6.9
E (eV per atom): -7.0364
N(E_F) (states/eV per cell): 8.45

a b c (Å): 7.1987 4.1688 7.2677
angles (deg): 90.00 109.16 90.00
Closest atoms and distances in Å follow each position.
Element x y z (fractional)
La: 0.0000 0.0000 0.0000  6 As 3.04
La: 0.5000 0.5000 0.0000  6 As 3.07
Sc: 0.0000 0.5000 0.5000  6 As 2.83-2.84
U: 0.5000 0.0000 0.5000  6 As 2.86-2.88
As: 0.2386 0.0000 0.7230  2 Sc 2.84, 1 U 2.86, 3 La 3.04-3.07
As: 0.2531 0.5000 0.2737  1 Sc 2.83, 2 U 2.88, 3 La 3.04-3.07
As: 0.7469 0.5000 0.7263  1 Sc 2.83, 2 U 2.88, 3 La 3.04-3.07
As: 0.7614 0.0000 0.2770  2 Sc 2.84, 1 U 2.86, 3 La 3.04-3.07

Record 6
Material: Sr2Ca3Zn2
Method: DFT, PBE
State: relaxed

Properties
E_form (meV per atom): -118
Total magnetic moment (μB/cell): 0.0
Theoretical density (Mg/m³): 2.8
E (eV per atom): -1.8200
N(E_F) (states/eV per cell): 7.10

a b c (Å): 6.8957 6.8957 9.7904
angles (deg): 113.37 113.37 37.18
Closest atoms and distances in Å follow each position.
Element x y z (fractional)
Sr: 0.1563 0.1563 0.3012  2 Zn 3.37
Sr: 0.8437 0.8437 0.6988  2 Zn 3.37
Ca: 0.3745 0.3745 0.0642  3 Zn 3.16-3.35
Ca: 0.5000 0.5000 0.5000  4 Zn 3.18
Ca: 0.6255 0.6255 0.9358  3 Zn 3.16-3.35
Zn: 0.1572 0.1572 0.7243  5 Ca 3.16-3.35, 2 Sr 3.37
Zn: 0.8428 0.8428 0.2757  5 Ca 3.16-3.35, 2 Sr 3.37

Record 7
Material: TbHfPb2
Method: DFT, PBE
State: relaxed

Properties
E_form (meV per atom): -146
Total magnetic moment (μB/cell): 0.1
Theoretical density (Mg/m³): 12.2
E (eV per atom): -5.6460
N(E_F) (states/eV per cell): 3.01

a b c (Å): 3.3984 3.3984 8.8830
angles (deg): 90.00 90.00 90.00
Closest atoms and distances in Å follow each position.
Element x y z (fractional)
Tb: 0.0000 0.0000 0.0000  8 Pb 3.35, 4 Tb 3.40
Hf: 0.0000 0.0000 0.5000  8 Pb 3.20, 4 Hf 3.40
Pb: 0.5000 0.5000 0.2622  4 Hf 3.20, 4 Tb 3.35, 4 Pb 3.40
Pb: 0.5000 0.5000 0.7378  4 Hf 3.20, 4 Tb 3.35, 4 Pb 3.40

Record 8
Material: Ac2Cu2PdS6
Method: DFT, PBE
State: relaxed

Properties
Total magnetic moment (μB/cell): 0.0
Theoretical density (Mg/m³): 6.0
E (eV per atom): -5.1466
N(E_F) (states/eV per cell): 3.12

a b c (Å): 7.1693 7.1693 7.1693
angles (deg): 57.15 57.15 57.15
Closest atoms and distances in Å follow each position.
Element x y z (fractional)
Ac: 0.2248 0.2248 0.2248  3 S 3.01
Ac: 0.7752 0.7752 0.7752  3 S 3.01
Cu: 0.4152 0.4152 0.4152  3 S 2.17
Cu: 0.5848 0.5848 0.5848  3 S 2.17
Pd: 0.0000 0.0000 0.0000  6 S 2.41
S: 0.2124 0.7593 0.7593  1 Cu 2.17, 1 Pd 2.41
S: 0.2407 0.2407 0.7876  1 Cu 2.17, 1 Pd 2.41
S: 0.2407 0.7876 0.2407  1 Cu 2.17, 1 Pd 2.41
S: 0.7593 0.2124 0.7593  1 Cu 2.17, 1 Pd 2.41
S: 0.7593 0.7593 0.2124  1 Cu 2.17, 1 Pd 2.41
S: 0.7876 0.2407 0.2407  1 Cu 2.17, 1 Pd 2.41

Record 9
Material: CsSnRh3
Method: DFT, PBE
State: relaxed

Properties
E_form (meV per atom): 802
Total magnetic moment (μB/cell): 1.1
Theoretical density (Mg/m³): 7.2
E (eV per atom): -4.5803
N(E_F) (states/eV per cell): 5.79

a b c (Å): 5.0576 5.0576 5.0576
angles (deg): 90.00 90.00 90.00
Closest atoms and distances in Å follow each position.
Element x y z (fractional)
Cs: 0.0000 0.0000 0.0000  12 Rh 3.58
Sn: 0.5000 0.5000 0.5000  6 Rh 2.53
Rh: 0.0000 0.5000 0.5000  2 Sn 2.53
Rh: 0.5000 0.0000 0.5000  2 Sn 2.53
Rh: 0.5000 0.5000 0.0000  2 Sn 2.53

Record 10
Material: HfCoHg2
Method: DFT, PBE
State: relaxed

Properties
E_form (meV per atom): 214
Total magnetic moment (μB/cell): 0.0
Theoretical density (Mg/m³): 14.6
E (eV per atom): -4.2014
N(E_F) (states/eV per cell): 2.37

a b c (Å): 4.6872 4.6872 4.6872
angles (deg): 60.00 60.00 60.00
Closest atoms and distances in Å follow each position.
Element x y z (fractional)
Hf: 0.0000 0.0000 0.0000  8 Hg 2.87
Co: 0.5000 0.5000 0.5000  8 Hg 2.87
Hg: 0.2500 0.2500 0.2500  4 Hf 2.87, 4 Co 2.87
Hg: 0.7500 0.7500 0.7500  4 Hf 2.87, 4 Co 2.87

Record 11
Material: LiZrBi2
Method: DFT, PBE
State: relaxed

Properties
E_form (meV per atom): -167
Total magnetic moment (μB/cell): 0.0
Theoretical density (Mg/m³): 8.5
E (eV per atom): -4.7225
N(E_F) (states/eV per cell): 3.10

a b c (Å): 5.2224 5.2224 5.2224
angles (deg): 60.00 60.00 60.00
Closest atoms and distances in Å follow each position.
Element x y z (fractional)
Li: 0.0000 0.0000 0.0000  8 Bi 3.20
Zr: 0.5000 0.5000 0.5000  8 Bi 3.20
Bi: 0.2500 0.2500 0.2500  4 Zr 3.20, 4 Li 3.20
Bi: 0.7500 0.7500 0.7500  4 Zr 3.20, 4 Li 3.20

Record 12
Material: PrYNO
Method: DFT, PBE
State: relaxed

Properties
Total magnetic moment (μB/cell): 0.0
Theoretical density (Mg/m³): 6.8
E (eV per atom): -7.9156
N(E_F) (states/eV per cell): 1.83

a b c (Å): 6.4617 6.4617 6.4617
angles (deg): 151.01 150.85 41.57
Closest atoms and distances in Å follow each position.
Element x y z (fractional)
Pr: 0.0000 0.0000 0.0000  2 N 2.54, 4 O 2.61
Y: 0.7567 0.2567 0.5000  2 O 2.46, 4 N 2.50
N: 0.3387 0.8387 0.5000  4 Y 2.50, 2 Pr 2.54
O: 0.6033 0.6033 0.0000  2 Y 2.46, 4 Pr 2.61

Copy entry 2 word for word.
Material: TiCl3O
Method: DFT, PBE
State: relaxed

Properties
Total magnetic moment (μB/cell): 1.0
Theoretical density (Mg/m³): 2.6
E (eV per atom): -4.2198
N(E_F) (states/eV per cell): 12.32

a b c (Å): 4.7727 4.7727 4.7727
angles (deg): 90.00 90.00 90.00
Closest atoms and distances in Å follow each position.
Element x y z (fractional)
Ti: 0.0000 0.0000 0.0000  6 Cl 2.39
Cl: 0.0000 0.0000 0.5000  2 Ti 2.39
Cl: 0.0000 0.5000 0.0000  2 Ti 2.39
Cl: 0.5000 0.0000 0.0000  2 Ti 2.39
O: 0.5000 0.5000 0.5000  12 Cl 3.37

Please write out number 11 again, unchanged.
Material: LiZrBi2
Method: DFT, PBE
State: relaxed

Properties
E_form (meV per atom): -167
Total magnetic moment (μB/cell): 0.0
Theoretical density (Mg/m³): 8.5
E (eV per atom): -4.7225
N(E_F) (states/eV per cell): 3.10

a b c (Å): 5.2224 5.2224 5.2224
angles (deg): 60.00 60.00 60.00
Closest atoms and distances in Å follow each position.
Element x y z (fractional)
Li: 0.0000 0.0000 0.0000  8 Bi 3.20
Zr: 0.5000 0.5000 0.5000  8 Bi 3.20
Bi: 0.2500 0.2500 0.2500  4 Zr 3.20, 4 Li 3.20
Bi: 0.7500 0.7500 0.7500  4 Zr 3.20, 4 Li 3.20